[1]
Ca4As6Pd5: optimized geometry, PBE-GGA.

```
data_Ca4As6Pd5
_chemical_formula_sum 'Ca16 As24 Pd20'
_cell_length_a 4.2351
_cell_length_b 18.9830
_cell_length_c 15.4373
_cell_angle_alpha 90.00
_cell_angle_beta 90.00
_cell_angle_gamma 90.00
_space_group_name_H-M_alt 'C m c 21'
_space_group_IT_number 36
loop_
_space_group_symop_operation_xyz
'x,y,z'
'-x,-y,z+1/2'
'-x,y,z'
'x,-y,z+1/2'
'x+1/2,y+1/2,z'
'-x+1/2,-y+1/2,z+1/2'
'-x+1/2,y+1/2,z'
'x+1/2,-y+1/2,z+1/2'
loop_
_atom_site_label
_atom_site_type_symbol
_atom_site_fract_x
_atom_site_fract_y
_atom_site_fract_z
Ca1 Ca 0.0000 0.0108 0.0000
Ca2 Ca 0.0000 0.0321 0.2634
Ca3 Ca 0.0000 0.1642 0.8016
Ca4 Ca 0.0000 0.1792 0.4402
As1 As 0.0000 0.1162 0.6162
As2 As 0.0000 0.2177 0.9906
As3 As 0.0000 0.2286 0.2513
As4 As 0.0000 0.4245 0.6274
As5 As 0.0000 0.4282 0.8958
As6 As 0.0000 0.4434 0.3500
Pd1 Pd 0.0000 0.1491 0.1257
Pd2 Pd 0.0000 0.3020 0.1175
Pd3 Pd 0.0000 0.3413 0.7709
Pd4 Pd 0.0000 0.3571 0.4758
Pd5 Pd 0.0000 0.4451 0.1689
```

Values from the calculation:
- Calculated volume: 1241.09 Å³/cell
- Final energy: -4.9158 eV/atom
- Magnetic moment: 0.000 μB per atom
- ΔE_f: -0.7913 eV per atom

=====

[2]
Sm2InGe3Rh4: optimized geometry, PBE-GGA.

```
data_Sm2InGe3Rh4
_chemical_formula_sum 'Sm2 In1 Ge3 Rh4'
_cell_length_a 4.2301
_cell_length_b 4.2301
_cell_length_c 10.6087
_cell_angle_alpha 90.00
_cell_angle_beta 90.00
_cell_angle_gamma 90.00
_space_group_name_H-M_alt 'P -4 m 2'
_space_group_IT_number 115
loop_
_space_group_symop_operation_xyz
'x,y,z'
'y,-x,-z'
'-x,-y,z'
'-y,x,-z'
'-x,y,z'
'-y,-x,-z'
'x,-y,z'
'y,x,-z'
loop_
_atom_site_label
_atom_site_type_symbol
_atom_site_fract_x
_atom_site_fract_y
_atom_site_fract_z
Sm1 Sm 0.0000 0.5000 0.2437
In1 In 0.0000 0.0000 0.5000
Ge1 Ge 0.0000 0.5000 0.8755
Ge2 Ge 0.5000 0.5000 0.5000
Rh1 Rh 0.0000 0.0000 0.0000
Rh2 Rh 0.0000 0.5000 0.6477
Rh3 Rh 0.5000 0.5000 0.0000
```

Values from the calculation:
- Calculated volume: 189.83 Å³/cell
- Final energy: -6.3266 eV/atom
- Magnetic moment: 0.000 μB per atom
- ΔE_f: -0.7831 eV per atom

=====

[3]
NpVS4: optimized geometry, PBE-GGA.

```
data_NpVS4
_chemical_formula_sum 'Np1 V1 S4'
_cell_length_a 6.1900
_cell_length_b 3.7145
_cell_length_c 6.2581
_cell_angle_alpha 90.00
_cell_angle_beta 90.52
_cell_angle_gamma 90.00
_space_group_name_H-M_alt 'P 1 2/m 1'
_space_group_IT_number 10
loop_
_space_group_symop_operation_xyz
'x,y,z'
'-x,-y,-z'
'-x,y,-z'
'x,-y,z'
loop_
_atom_site_label
_atom_site_type_symbol
_atom_site_fract_x
_atom_site_fract_y
_atom_site_fract_z
Np1 Np 0.0000 0.0000 0.0000
V1 V 0.5000 0.5000 0.0000
S1 S 0.1876 0.5000 0.7713
S2 S 0.3562 0.0000 0.2150
```

Values from the calculation:
- Calculated volume: 143.89 Å³/cell
- Formation energy without anion corrections: -22.98 kcal/mol of atoms
- Final energy: -7.4247 eV/atom
- Magnetic moment: 0.667 μB per atom

=====

[4]
Zn2PdAu8: optimized geometry, PBE-GGA.

```
data_Zn2PdAu8
_chemical_formula_sum 'Zn4 Pd2 Au16'
_cell_length_a 14.5358
_cell_length_b 4.1086
_cell_length_c 6.6528
_cell_angle_alpha 90.00
_cell_angle_beta 108.07
_cell_angle_gamma 90.00
_space_group_name_H-M_alt 'C 1 2/m 1'
_space_group_IT_number 12
loop_
_space_group_symop_operation_xyz
'x,y,z'
'-x,-y,-z'
'-x,y,-z'
'x,-y,z'
'x+1/2,y+1/2,z'
'-x+1/2,-y+1/2,-z'
'-x+1/2,y+1/2,-z'
'x+1/2,-y+1/2,z'
loop_
_atom_site_label
_atom_site_type_symbol
_atom_site_fract_x
_atom_site_fract_y
_atom_site_fract_z
Zn1 Zn 0.2238 0.0000 0.1527
Pd1 Pd 0.0000 0.5000 0.5000
Au1 Au 0.0437 0.0000 0.2291
Au2 Au 0.1013 0.5000 0.9599
Au3 Au 0.1442 0.0000 0.7025
Au4 Au 0.1793 0.5000 0.4154
```

Values from the calculation:
- Calculated volume: 377.72 Å³/cell
- Offset from the most stable computed form: 0.00 eV per formula unit
- Final energy: -3.2033 eV/atom
- Magnetic moment: 0.000 μB per atom
- ΔE_f: -0.1161 eV per atom

=====

[5]
AsIr3: optimized geometry, PBE-GGA.

```
data_AsIr3
_chemical_formula_sum 'As2 Ir6'
_cell_length_a 2.8518
_cell_length_b 9.2786
_cell_length_c 4.6022
_cell_angle_alpha 90.00
_cell_angle_beta 90.00
_cell_angle_gamma 90.00
_space_group_name_H-M_alt 'I m m 2'
_space_group_IT_number 44
loop_
_space_group_symop_operation_xyz
'x,y,z'
'-x,-y,z'
'-x,y,z'
'x,-y,z'
'x+1/2,y+1/2,z+1/2'
'-x+1/2,-y+1/2,z+1/2'
'-x+1/2,y+1/2,z+1/2'
'x+1/2,-y+1/2,z+1/2'
loop_
_atom_site_label
_atom_site_type_symbol
_atom_site_fract_x
_atom_site_fract_y
_atom_site_fract_z
As1 As 0.0000 0.0000 0.0000
Ir1 Ir 0.0000 0.2208 0.2755
Ir2 Ir 0.0000 0.5000 0.0686
```

Values from the calculation:
- Calculated volume: 121.78 Å³/cell
- Offset from the most stable computed form: 0.01 eV per formula unit
- Final energy: -7.7295 eV/atom
- Magnetic moment: 0.000 μB per atom
- ΔE_f: 0.0786 eV per atom

=====

[6]
Y2CrInC: optimized geometry, PBE-GGA.

```
data_Y2CrInC
_chemical_formula_sum 'Y2 Cr1 In1 C1'
_cell_length_a 5.0347
_cell_length_b 5.0347
_cell_length_c 3.9679
_cell_angle_alpha 90.00
_cell_angle_beta 90.00
_cell_angle_gamma 90.00
_space_group_name_H-M_alt 'P 4/m m m'
_space_group_IT_number 123
_space_group_name_Hall '-P 4 2'
loop_
_atom_site_label
_atom_site_type_symbol
_atom_site_fract_x
_atom_site_fract_y
_atom_site_fract_z
Y1 Y 0.0000 0.5000 0.0000
Cr1 Cr 0.0000 0.0000 0.5000
In1 In 0.5000 0.5000 0.5000
C1 C 0.0000 0.0000 0.0000
```

Values from the calculation:
- Calculated volume: 100.58 Å³/cell
- Final energy: -7.2098 eV/atom
- Magnetic moment: 0.415 μB per atom
- ΔE_f: -0.3071 eV per atom

=====

[7]
ScTl2Os: optimized geometry, PBE-GGA.

```
data_ScTl2Os
_chemical_formula_sum 'Sc1 Tl2 Os1'
_cell_length_a 3.2697
_cell_length_b 3.2697
_cell_length_c 8.4164
_cell_angle_alpha 90.00
_cell_angle_beta 90.00
_cell_angle_gamma 90.00
_space_group_name_H-M_alt 'P 4 m m'
_space_group_IT_number 99
loop_
_space_group_symop_operation_xyz
'x,y,z'
'-y,x,z'
'-x,-y,z'
'y,-x,z'
'-x,y,z'
'y,x,z'
'x,-y,z'
'-y,-x,z'
loop_
_atom_site_label
_atom_site_type_symbol
_atom_site_fract_x
_atom_site_fract_y
_atom_site_fract_z
Sc1 Sc 0.0000 0.0000 0.0000
Tl1 Tl 0.0000 0.0000 0.6067
Tl2 Tl 0.5000 0.5000 0.2954
Os1 Os 0.5000 0.5000 0.8314
```

Values from the calculation:
- Calculated volume: 89.98 Å³/cell
- Offset from the most stable computed form: 0.00 eV per formula unit
- Final energy: -5.4261 eV/atom
- Magnetic moment: 0.000 μB per atom
- ΔE_f: 0.1474 eV per atom

=====

[8]
Cs4LiPb4: optimized geometry, PBE-GGA.

```
data_Cs4LiPb4
_chemical_formula_sum 'Cs8 Li2 Pb8'
_cell_length_a 6.9955
_cell_length_b 6.9955
_cell_length_c 17.2708
_cell_angle_alpha 90.00
_cell_angle_beta 90.00
_cell_angle_gamma 90.00
_space_group_name_H-M_alt 'I -4 2 m'
_space_group_IT_number 121
_space_group_name_Hall 'I -4 2'
loop_
_atom_site_label
_atom_site_type_symbol
_atom_site_fract_x
_atom_site_fract_y
_atom_site_fract_z
Cs1 Cs 0.2145 0.2145 0.1668
Li1 Li 0.0000 0.0000 0.0000
Pb1 Pb 0.1824 0.1824 0.4471
```

Values from the calculation:
- Calculated volume: 845.19 Å³/cell
- Final energy: -2.2810 eV/atom
- Magnetic moment: 0.000 μB per atom
- ΔE_f: -0.0408 eV per atom

=====

[9]
SrTaBe2: optimized geometry, PBE-GGA.

```
data_SrTaBe2
_chemical_formula_sum 'Sr2 Ta2 Be4'
_cell_length_a 6.6286
_cell_length_b 3.8274
_cell_length_c 6.6032
_cell_angle_alpha 90.00
_cell_angle_beta 109.63
_cell_angle_gamma 90.00
_space_group_name_H-M_alt 'C 1 m 1'
_space_group_IT_number 8
loop_
_space_group_symop_operation_xyz
'x,y,z'
'x,-y,z'
'x+1/2,y+1/2,z'
'x+1/2,-y+1/2,z'
loop_
_atom_site_label
_atom_site_type_symbol
_atom_site_fract_x
_atom_site_fract_y
_atom_site_fract_z
Sr1 Sr 0.0000 0.0000 0.0000
Ta1 Ta 0.3113 0.5000 0.4330
Be1 Be 0.0358 0.5000 0.6056
Be2 Be 0.2023 0.0000 0.6052
```

Values from the calculation:
- Calculated volume: 157.79 Å³/cell
- Offset from the most stable computed form: 0.13 eV per formula unit
- Final energy: -4.8495 eV/atom
- Magnetic moment: 0.031 μB per atom
- ΔE_f: 0.3972 eV per atom

=====

[10]
Rb3AgP: optimized geometry, PBE-GGA.

```
data_Rb3AgP
_chemical_formula_sum 'Rb6 Ag2 P2'
_cell_length_a 5.4910
_cell_length_b 10.1424
_cell_length_c 7.3595
_cell_angle_alpha 90.00
_cell_angle_beta 90.00
_cell_angle_gamma 90.00
_space_group_name_H-M_alt 'P m m n'
_space_group_IT_number 59
loop_
_space_group_symop_operation_xyz
'x,y,z'
'-x,-y,-z'
'-x+1/2,-y+1/2,z'
'x+1/2,y+1/2,-z'
'x+1/2,-y,-z'
'-x+1/2,y,z'
'-x,y+1/2,-z'
'x,-y+1/2,z'
loop_
_atom_site_label
_atom_site_type_symbol
_atom_site_fract_x
_atom_site_fract_y
_atom_site_fract_z
Rb1 Rb 0.2500 0.0459 0.2127
Rb2 Rb 0.2500 0.2500 0.7545
Ag1 Ag 0.2500 0.7500 0.6140
P1 P 0.2500 0.7500 0.9440
```

Values from the calculation:
- Calculated volume: 409.87 Å³/cell
- Offset from the most stable computed form: 0.00 eV per formula unit
- Final energy: -2.3159 eV/atom
- Magnetic moment: 0.000 μB per atom
- ΔE_f: -0.0832 eV per atom

=====

[11]
Mn2Rh2Au: optimized geometry, PBE-GGA.

```
data_Mn2Rh2Au
_chemical_formula_sum 'Mn4 Rh4 Au2'
_cell_length_a 7.2679
_cell_length_b 7.2679
_cell_length_c 2.6558
_cell_angle_alpha 90.00
_cell_angle_beta 90.00
_cell_angle_gamma 90.00
_space_group_name_H-M_alt 'P 4/m b m'
_space_group_IT_number 127
_space_group_name_Hall '-P 4 2ab'
loop_
_atom_site_label
_atom_site_type_symbol
_atom_site_fract_x
_atom_site_fract_y
_atom_site_fract_z
Mn1 Mn 0.1674 0.3326 0.0000
Rh1 Rh 0.1273 0.6273 0.5000
Au1 Au 0.0000 0.0000 0.5000
```

Values from the calculation:
- Calculated volume: 140.29 Å³/cell
- Offset from the most stable computed form: 0.29 eV per formula unit
- Final energy: -7.0241 eV/atom
- Magnetic moment: 0.000 μB per atom
- ΔE_f: 0.2398 eV per atom

=====

[12]
NaSiIr2: optimized geometry, PBE-GGA.

```
data_NaSiIr2
_chemical_formula_sum 'Na4 Si4 Ir8'
_cell_length_a 7.1601
_cell_length_b 7.1601
_cell_length_c 5.3147
_cell_angle_alpha 90.00
_cell_angle_beta 90.00
_cell_angle_gamma 90.00
_space_group_name_H-M_alt 'I -4 2 d'
_space_group_IT_number 122
_space_group_name_Hall 'I -4 2bw'
loop_
_atom_site_label
_atom_site_type_symbol
_atom_site_fract_x
_atom_site_fract_y
_atom_site_fract_z
Na1 Na 0.0000 0.0000 0.0000
Si1 Si 0.0000 0.0000 0.5000
Ir1 Ir 0.1807 0.2500 0.6250
```

Values from the calculation:
- Calculated volume: 272.47 Å³/cell
- Formation energy without anion corrections: 3.40 kcal/mol of atoms
- Final energy: -5.9684 eV/atom
- Magnetic moment: 0.000 μB per atom